Li4CeSc3S8 after structural relaxation. Source: Alexandria, functional PBE.

Unit cell a=7.571 b=7.516 c=7.571 alpha=120.25 beta=120.00 gamma=90.00
Element x y z (fractional)
Li 0.500 0.000 0.500
Sc 0.500 0.500 0.500
S 0.743 0.253 0.486
S 0.743 0.253 0.010
Sc 0.500 0.500 0.000
Sc 0.000 0.500 0.500
Ce 0.000 0.500 0.000
S 0.257 0.747 0.990
S 0.267 0.253 0.010
Li 0.000 0.000 0.500
S 0.733 0.747 0.990
S 0.257 0.747 0.514
S 0.746 0.739 0.493
S 0.254 0.261 0.507
Li 0.000 0.000 0.000
Li 0.500 0.000 0.000

## Properties
Magnetic moment: 0.9 Bohr magnetons per cell
ΔE_f (raw): -1.738 eV/atom
Fermi-level density of states: 7.58 states/eV per cell